Entry from Alexandria: a geometry-optimized HSCl structure (PBE).

distance to the lowest polymorph of the same formula = 64.1 meV/atom

The structure in POSCAR format:
```
HSCl
1.0
2.733 -2.510 0.000
2.733 2.510 0.000
-0.319 0.000 11.862
H S Cl
2 2 2
Cartesian
-0.074 0.000 4.143
5.220 0.000 7.719
2.733 0.969 0.000
2.733 -0.969 0.000
1.045 0.000 7.727
4.101 0.000 4.136
```